[1]
Co2RhAu: relaxed, PBE-GGA.

Output
Final energy = -0.444 Ry per atom
Mass density = 12.6 g cm⁻³
Symmetry = No. 123

abc: 3.724 3.847 3.847
angles: 90.00 90.00 90.00
Element x y z (fractional)
Co: 0.000 0.000 0.500
Co: 0.000 0.500 0.000
Au: 0.500 0.000 0.000
Rh: 0.500 0.500 0.500

[2]
Sc4AlPt: relaxed, PBE-GGA.

Output
Offset from the most stable computed form = 733 meV per atom
Final energy = -0.424 Ry per atom
Mass density = 5.5 g cm⁻³
Symmetry = No. 216

abc: 5.563 5.563 5.563
angles: 60.00 60.00 60.00
Element x y z (fractional)
Al: 0.750 0.750 0.750
Pt: 0.000 0.000 0.000
Sc: 0.375 0.875 0.375
Sc: 0.375 0.375 0.875
Sc: 0.875 0.375 0.375
Sc: 0.375 0.375 0.375

[3]
BaCa2Pt: relaxed, PBE-GGA.

Output
Offset from the most stable computed form = 156 meV per atom
Final energy = -0.250 Ry per atom
Mass density = 4.8 g cm⁻³
Symmetry = No. 99

abc: 3.795 3.795 9.831
angles: 90.00 90.00 90.02
Element x y z (fractional)
Ca: 0.000 0.000 0.030
Ca: 0.500 0.500 0.324
Ba: 0.500 0.500 0.675
Pt: 0.000 0.000 0.471

[4]
CsRb2InHg: relaxed, PBE-GGA.

Output
Offset from the most stable computed form = 35 meV per atom
Final energy = -0.085 Ry per atom
Mass density = 3.3 g cm⁻³
Symmetry = No. 123

abc: 7.330 7.330 5.790
angles: 90.00 90.00 90.00
Element x y z (fractional)
Rb: 0.000 0.500 0.000
Rb: 0.500 0.000 0.000
Hg: 0.000 0.000 0.500
In: 0.000 0.000 0.000
Cs: 0.500 0.500 0.500